[1]
ScTa2W (GGA-PBE, optimized geometry); total DFT energy (no corrections) = -10.61 eV per atom; formation enthalpy at 0 K = 0.14 eV/atom
1.0
5.540 0.005 0.006
2.468 4.961 -0.006
-3.448 -3.380 2.718
W Ta Sc
1 2 1
Direct
0.750 0.250 0.500 W
0.979 0.979 0.000 Ta
0.521 0.521 0.000 Ta
0.250 0.750 0.500 Sc

***

[2]
Mn2InHgOs (GGA-PBE, optimized geometry); total DFT energy (no corrections) = -4.63 eV per atom; formation enthalpy at 0 K = 1.89 eV/atom
1.0
4.881 0.000 0.000
0.000 5.063 0.000
0.000 0.000 4.881
In Hg Mn Os
1 1 2 1
Direct
0.000 0.500 0.000 In
0.000 0.000 0.000 Hg
0.500 0.000 0.000 Mn
0.000 0.000 0.500 Mn
0.500 0.500 0.500 Os

***

[3]
Er6In2Bi (GGA-PBE, optimized geometry); total DFT energy (no corrections) = -4.45 eV per atom; formation enthalpy at 0 K = -0.37 eV/atom
1.0
-3.148 -0.206 2.345
4.714 -4.235 5.957
-0.440 8.682 0.172
In Bi Er
2 1 6
Direct
0.000 0.667 0.334 In
0.000 0.333 0.666 In
0.500 0.000 0.000 Bi
0.000 0.000 0.281 Er
0.500 0.613 0.000 Er
0.000 0.282 0.000 Er
0.500 0.000 0.613 Er
0.500 0.387 0.387 Er
0.000 0.718 0.719 Er

***

[4]
SrSb2Au9 (GGA-PBE, optimized geometry); energy relative to the elements, uncorrected = -0.194 eV/atom; total DFT energy (no corrections) = -3.48 eV per atom
1.0
-2.429 -4.091 -3.118
0.591 -5.454 1.505
-8.351 -2.576 4.697
Au Sr Sb
9 1 2
Direct
0.500 0.500 0.500 Au
0.666 0.666 0.001 Au
0.415 0.919 0.250 Au
0.919 0.415 0.250 Au
0.585 0.585 0.750 Au
0.415 0.415 0.250 Au
0.081 0.585 0.750 Au
0.585 0.081 0.750 Au
0.334 0.334 0.999 Au
0.000 0.000 0.000 Sr
0.843 0.843 0.470 Sb
0.157 0.157 0.530 Sb

***

[5]
Ca3SnAu7 (GGA-PBE, optimized geometry); total DFT energy (no corrections) = -3.54 eV per atom; formation enthalpy at 0 K = -0.54 eV/atom
1.0
4.453 0.000 0.000
-2.226 10.807 0.000
0.000 0.000 10.736
Au Sn Ca
14 2 6
Direct
0.716 0.432 0.971 Au
0.341 0.681 0.750 Au
0.597 0.194 0.880 Au
0.536 0.072 0.116 Au
0.659 0.319 0.250 Au
0.716 0.432 0.529 Au
0.597 0.194 0.620 Au
0.464 0.928 0.616 Au
0.284 0.568 0.471 Au
0.403 0.806 0.120 Au
0.284 0.568 0.029 Au
0.536 0.072 0.384 Au
0.464 0.928 0.884 Au
0.403 0.806 0.380 Au
0.028 0.056 0.750 Sn
0.972 0.944 0.250 Sn
0.801 0.603 0.250 Ca
0.199 0.397 0.750 Ca
0.871 0.742 0.566 Ca
0.871 0.742 0.934 Ca
0.129 0.258 0.066 Ca
0.129 0.258 0.434 Ca

***

[6]
NdMg2Pb (GGA-PBE, optimized geometry); total DFT energy (no corrections) = -3.25 eV per atom; formation enthalpy at 0 K = -0.33 eV/atom
1.0
4.891 0.000 0.000
0.000 4.657 0.000
0.000 0.000 4.657
Mg Nd Pb
2 1 1
Direct
0.000 0.000 0.500 Mg
0.000 0.500 0.000 Mg
0.500 0.500 0.500 Nd
0.500 0.000 0.000 Pb